## VZnBiO5 (GGA+U)

Data for crystalline VZnBiO5 at its relaxed geometry.

abc: 5.6649 15.3732 10.9068
angles: 90.00 90.00 90.00
With the nearest neighbours (Å) after each atom.
Space group Pbca (No. 61)
Asymmetric unit:
1 V 0.0817 0.0916 0.1167 [8 per cell]  4 O 1.71-1.78
2 Zn 0.0809 0.5323 0.8594 [8 per cell]  5 O 2.03-2.17
3 Bi 0.0427 0.2267 0.8464 [8 per cell]  4 O 2.16-2.40
4 O 0.0832 0.5146 0.2980 [8 per cell]  1 V 1.77
5 O 0.1016 0.6357 0.4909 [8 per cell]  1 V 1.71
6 O 0.1296 0.6560 0.7996 [8 per cell]  1 Zn 2.03, 2 Bi 2.16-2.21
7 O 0.1746 0.5457 0.0417 [8 per cell]  1 V 1.75
8 O 0.1951 0.1805 0.2028 [8 per cell]  1 V 1.78

Computed properties:
The value obtained for the density of states at the Fermi level is 0.00 states/eV/cell. The value obtained for the total magnetization is 0.00 μB per formula unit. As for the calculated total energy: -400.0 eV for the cell shown.